[1]
Computed, not measured: a geometry-optimized HoGePd2 structure at the PBE level of DFT.

Values from the calculation:
Mass density in g/cm3: 10.2
DOS(E_F) in states/eV/f.u.: 1.53
Total magnetization in μB per atom: 0.000
Energy in eV/atom: -5.81
DFT formation energy in meV/atom: -910
SG: Pnma

a = 5.5981 Å, b = 7.1419 Å, c = 7.3566 Å
α = 90.00°, β = 90.00°, γ = 90.00°
Element x y z (fractional)
1 Ho 0.1446 0.7500 0.5278
2 Ho 0.8554 0.2500 0.4722
3 Ho 0.6446 0.2500 0.9722
4 Ho 0.3554 0.7500 0.0278
5 Ge 0.8568 0.7500 0.8808
6 Ge 0.1432 0.2500 0.1192
7 Ge 0.3568 0.2500 0.6192
8 Ge 0.6432 0.7500 0.3808
9 Pd 0.5871 0.5513 0.6832
10 Pd 0.4129 0.4487 0.3168
11 Pd 0.0871 0.4487 0.8168
12 Pd 0.4129 0.0513 0.3168
13 Pd 0.9129 0.5513 0.1832
14 Pd 0.5871 0.9487 0.6832
15 Pd 0.9129 0.9487 0.1832
16 Pd 0.0871 0.0513 0.8168



[2]
Computed, not measured: a geometry-optimized Ho2Ge6Pd21 structure at the PBE level of DFT.

Values from the calculation:
Mass density in g/cm3: 10.4
DOS(E_F) in states/eV/f.u.: 20.04
Total magnetization in μB per atom: 0.000
Energy in eV/atom: -5.59
DFT formation energy in meV/atom: -562
SG: Fm-3m

a = 8.7895 Å, b = 8.7895 Å, c = 8.7895 Å
α = 60.00°, β = 60.00°, γ = 60.00°
Element x y z (fractional)
1 Ho 0.7500 0.7500 0.7500
2 Ho 0.2500 0.2500 0.2500
3 Ge 0.2669 0.7331 0.2669
4 Ge 0.7331 0.2669 0.2669
5 Ge 0.7331 0.7331 0.2669
6 Ge 0.7331 0.2669 0.7331
7 Ge 0.2669 0.7331 0.7331
8 Ge 0.2669 0.2669 0.7331
9 Pd 0.0000 0.0000 0.0000
10 Pd 0.6190 0.6190 0.1429
11 Pd 0.6190 0.6190 0.6190
12 Pd 0.6190 0.1429 0.6190
13 Pd 0.1429 0.6190 0.6190
14 Pd 0.3810 0.3810 0.8571
15 Pd 0.3810 0.3810 0.3810
16 Pd 0.3810 0.8571 0.3810
17 Pd 0.8571 0.3810 0.3810
18 Pd 0.6537 0.0000 0.3463
19 Pd 0.0000 0.6537 0.3463
20 Pd 0.0000 0.0000 0.3463
21 Pd 0.0000 0.6537 0.0000
22 Pd 0.6537 0.0000 0.0000
23 Pd 0.0000 0.0000 0.6537
24 Pd 0.0000 0.3463 0.0000
25 Pd 0.0000 0.3463 0.6537
26 Pd 0.6537 0.3463 0.0000
27 Pd 0.3463 0.0000 0.6537
28 Pd 0.3463 0.0000 0.0000
29 Pd 0.3463 0.6537 0.0000



[3]
Computed, not measured: a geometry-optimized Ho2Ge4Pd structure at the PBE level of DFT.

Values from the calculation:
Mass density in g/cm3: 8.5
DOS(E_F) in states/eV/f.u.: 3.64
Total magnetization in μB per atom: 0.000
Energy in eV/atom: -5.35
DFT formation energy in meV/atom: -658
SG: Amm2

a = 8.8176 Å, b = 8.8176 Å, c = 4.0544 Å
α = 90.00°, β = 90.00°, γ = 153.19°
Element x y z (fractional)
1 Ho 0.1026 0.8974 0.5000
2 Ho 0.8952 0.1048 0.0000
3 Ge 0.4626 0.5374 0.5000
4 Ge 0.5538 0.4462 0.0000
5 Ge 0.7326 0.2674 0.5000
6 Ge 0.2324 0.7676 0.0000
7 Pd 0.3208 0.6792 0.5000



[4]
Computed, not measured: a geometry-optimized Ho2Ge4Pd5 structure at the PBE level of DFT.

Values from the calculation:
Mass density in g/cm3: 9.3
DOS(E_F) in states/eV/f.u.: 7.37
Total magnetization in μB per atom: 0.000
Energy in eV/atom: -5.49
DFT formation energy in meV/atom: -620
SG: Fmmm

a = 5.6345 Å, b = 5.5668 Å, c = 8.1281 Å
α = 79.90°, β = 69.72°, γ = 59.60°
Element x y z (fractional)
1 Ho 0.8637 0.0000 0.2727
2 Ho 0.1363 0.0000 0.7273
3 Ge 0.4867 0.2921 0.7344
4 Ge 0.5133 0.7079 0.2656
5 Ge 0.2211 0.2921 0.2656
6 Ge 0.7789 0.7079 0.7344
7 Pd 0.5000 0.0000 0.0000
8 Pd 0.0000 0.5000 0.0000
9 Pd 0.5000 0.5000 0.0000
10 Pd 0.2500 0.5000 0.5000
11 Pd 0.7500 0.5000 0.5000



[5]
Computed, not measured: a geometry-optimized HoGePd structure at the PBE level of DFT.

Values from the calculation:
Mass density in g/cm3: 9.7
DOS(E_F) in states/eV/f.u.: 0.91
Total magnetization in μB per atom: 0.000
Energy in eV/atom: -5.76
DFT formation energy in meV/atom: -960
SG: P-6m2

a = 3.4329 Å, b = 4.4480 Å, c = 4.4480 Å
α = 120.00°, β = 90.00°, γ = 90.00°
Element x y z (fractional)
1 Ge 0.1666 0.3333 0.6667
2 Ho 0.6667 0.6667 0.3333
3 Pd 0.1667 0.0000 0.0000



[6]
Computed, not measured: a geometry-optimized Ho3Ge2Pd6 structure at the PBE level of DFT.

Values from the calculation:
Mass density in g/cm3: 10.2
DOS(E_F) in states/eV/f.u.: 3.54
Total magnetization in μB per atom: 0.000
Energy in eV/atom: -5.73
DFT formation energy in meV/atom: -805
SG: Im-3m

a = 8.1598 Å, b = 8.1598 Å, c = 8.1598 Å
α = 109.47°, β = 109.47°, γ = 109.47°
Element x y z (fractional)
1 Ho 0.7118 0.0000 0.7118
2 Ho 0.2882 0.0000 0.2882
3 Ho 0.0000 0.2882 0.2882
4 Ho 0.0000 0.7118 0.7118
5 Ho 0.2882 0.2882 0.0000
6 Ho 0.7118 0.7118 0.0000
7 Ge 0.0000 0.5000 0.0000
8 Ge 0.5000 0.0000 0.0000
9 Ge 0.0000 0.0000 0.5000
10 Ge 0.5000 0.5000 0.5000
11 Pd 0.6704 0.3407 0.6704
12 Pd 0.6704 0.0000 0.3296
13 Pd 0.3296 0.0000 0.6704
14 Pd 0.3296 0.6593 0.3296
15 Pd 0.0000 0.6704 0.3296
16 Pd 0.6593 0.3296 0.3296
17 Pd 0.3407 0.6704 0.6704
18 Pd 0.0000 0.3296 0.6704
19 Pd 0.3296 0.6704 0.0000
20 Pd 0.6704 0.6704 0.3407
21 Pd 0.3296 0.3296 0.6593
22 Pd 0.6704 0.3296 0.0000



[7]
Computed, not measured: a geometry-optimized Ho2Ge6Pd structure at the PBE level of DFT.

Values from the calculation:
Mass density in g/cm3: 8.0
DOS(E_F) in states/eV/f.u.: 3.27
Total magnetization in μB per atom: 0.000
Energy in eV/atom: -5.17
DFT formation energy in meV/atom: -496
SG: Amm2

a = 11.1586 Å, b = 11.1586 Å, c = 4.0910 Å
α = 90.00°, β = 90.00°, γ = 159.19°
Element x y z (fractional)
1 Ho 0.3388 0.6612 0.0000
2 Ho 0.9978 0.0022 0.0000
3 Ge 0.2123 0.7877 0.5000
4 Ge 0.0974 0.9026 0.5000
5 Ge 0.8904 0.1096 0.5000
6 Ge 0.7138 0.2862 0.0000
7 Ge 0.5992 0.4008 0.0000
8 Ge 0.4625 0.5375 0.5000
9 Pd 0.7798 0.2202 0.5000



[8]
Computed, not measured: a geometry-optimized Ho3Ge4Pd2 structure at the PBE level of DFT.

Values from the calculation:
Mass density in g/cm3: 9.2
ΔE to the lowest computed polymorph in eV/atom: 0.0000
DOS(E_F) in states/eV/f.u.: 3.02
Total magnetization in μB per atom: 0.000
Energy in eV/atom: -5.59
DFT formation energy in meV/atom: -859
SG: C2/m

a = 4.2682 Å, b = 5.7969 Å, c = 8.2650 Å
α = 106.77°, β = 90.00°, γ = 111.60°
Element x y z (fractional)
1 Ho 0.6286 0.2572 0.6945
2 Ho 0.0000 0.0000 0.0000
3 Ho 0.3714 0.7428 0.3055
4 Ge 0.7069 0.4138 0.0640
5 Ge 0.2931 0.5862 0.9360
6 Ge 0.9254 0.8508 0.6026
7 Ge 0.0746 0.1492 0.3974
8 Pd 0.6878 0.3756 0.3611
9 Pd 0.3122 0.6244 0.6389



[9]
Computed, not measured: a geometry-optimized PrHoGe2Pd5 structure at the PBE level of DFT.

Values from the calculation:
Mass density in g/cm3: 9.7
DOS(E_F) in states/eV/f.u.: 2.64
Total magnetization in μB per atom: 0.000
Energy in eV/atom: -5.73
DFT formation energy in meV/atom: -777
SG: P4/mmm

a = 4.2863 Å, b = 4.2863 Å, c = 9.1322 Å
α = 90.00°, β = 90.00°, γ = 90.00°
Element x y z (fractional)
1 Pr 0.0000 0.0000 0.5000
2 Ho 0.0000 0.0000 0.0000
3 Ge 0.5000 0.5000 0.1336
4 Ge 0.5000 0.5000 0.8664
5 Pd 0.0000 0.5000 0.2688
6 Pd 0.5000 0.0000 0.2688
7 Pd 0.0000 0.5000 0.7312
8 Pd 0.5000 0.0000 0.7312
9 Pd 0.5000 0.5000 0.5000